# Li4Nb3Cr5O16

A relaxed structure of Li4Nb3Cr5O16 (GGA+U, Alexandria).

Properties
Uncorrected energy in eV/atom: -7.681
Calculated volume in Å³/f.u.: 305.92

a = 6.030 Å, b = 6.030 Å, c = 9.775 Å
α = 90.36°, β = 90.36°, γ = 59.39°
Fractional coordinates of all 28 atoms:
Li 0.000 0.000 0.000
Li 0.007 0.007 0.501
Li 0.345 0.345 0.905
Li 0.677 0.677 0.393
Nb 0.178 0.178 0.217
Nb 0.369 0.825 0.716
Nb 0.825 0.369 0.716
Cr 0.179 0.670 0.220
Cr 0.345 0.345 0.486
Cr 0.670 0.179 0.220
Cr 0.683 0.683 0.994
Cr 0.846 0.846 0.720
O 0.010 0.010 0.818
O 0.011 0.011 0.317
O 0.051 0.489 0.345
O 0.179 0.179 0.604
O 0.183 0.683 0.606
O 0.340 0.340 0.110
O 0.342 0.851 0.108
O 0.489 0.051 0.345
O 0.489 0.489 0.343
O 0.529 0.529 0.865
O 0.533 0.970 0.846
O 0.683 0.183 0.606
O 0.694 0.694 0.594
O 0.849 0.849 0.107
O 0.851 0.342 0.108
O 0.970 0.533 0.846